{"formula": "BaAl3In", "functional": "PBE-GGA", "state": "relaxed", "cell": [[6.032, 0.000, 0.000], [0.000, 6.032, 0.000], [0.000, 0.000, 6.032]], "species": ["Ba", "Al", "Al", "Al", "In"], "frac_coords": [[0.000, 0.000, 0.000], [0.000, 0.000, 0.500], [0.000, 0.500, 0.000], [0.500, 0.000, 0.000], [0.500, 0.500, 0.500]], "magnetic_moment_mub_per_cell": 0.0, "e_above_lowest_polymorph_ev_per_atom": 0.942, "crystal_system": "cubic", "dft_energy_ev_per_atom": -1.86, "delta_e_f_ev_per_atom": 1.317, "sg": "No. 221"}